# 1
Computed, not measured: an optimized crystal structure of BeCu2F at the PBEsol level of DFT.

For the final energy, the calculation gives -0.2666 Ry per atom. The formation energy (no corrections) comes out at 0.022 eV/atom.

The space group is Fm-3m (No. 225) and the conventional cell measures 5.5182, 5.5182 and 5.5182 Å, with angles of 90.00, 90.00 and 90.00 degrees. The distinct sites, in fractional coordinates, are Be at (0.0000, 0.0000, 0.0000), Cu at (0.2500, 0.2500, 0.2500) and F at (0.0000, 0.0000, 0.5000).

---

# 2
Computed, not measured: an optimized crystal structure of K2SrCo at the PBEsol level of DFT.

For the final energy, the calculation gives -0.1503 Ry per atom. Its formation energy is 0.92 eV/atom.

The space group is Cmmm (No. 65) and the conventional cell measures 5.6011, 5.6182 and 10.6872 Å, with angles of 90.00, 90.00 and 90.00 degrees. The distinct sites, in fractional coordinates, are K at (0.0000, 0.0000, 0.1748), Sr at (0.0000, 0.5000, 0.5000) and Co at (0.0000, 0.5000, 0.0000).

---

# 3
Computed, not measured: an optimized crystal structure of KLaSb3 at the PBEsol level of DFT.

For the final energy, the calculation gives -0.2570 Ry per atom. The formation energy (no corrections) comes out at 0.534 eV/atom.

The space group is Pm-3m (No. 221) and the conventional cell measures 5.5198, 5.5198 and 5.5198 Å, with angles of 90.00, 90.00 and 90.00 degrees. The distinct sites, in fractional coordinates, are K at (0.0000, 0.0000, 0.0000), La at (0.5000, 0.5000, 0.5000) and Sb at (0.0000, 0.0000, 0.5000).

---

# 4
Computed, not measured: an optimized crystal structure of BaTa2Au at the PBEsol level of DFT.

For the final energy, the calculation gives -0.5127 Ry per atom. Its formation energy is 0.82 eV/atom. The value obtained for the distance to the lowest polymorph of the same formula is 457 meV per atom.

The space group is C2/m (No. 12) and the conventional cell measures 5.9504, 11.0951 and 3.0299 Å, with angles of 90.00, 119.25 and 90.00 degrees. The distinct sites, in fractional coordinates, are Ba at (0.0000, 0.0000, 0.0000), Ta at (0.2500, 0.2500, 0.5000) and Au at (0.0000, 0.5000, 0.0000).

---

> Look up the final energy of the first one.

-0.2666 Ry per atom

---

Copy entry 1 word for word.
Computed, not measured: an optimized crystal structure of BeCu2F at the PBEsol level of DFT.

For the final energy, the calculation gives -0.2666 Ry per atom. The formation energy (no corrections) comes out at 0.022 eV/atom.

The space group is Fm-3m (No. 225) and the conventional cell measures 5.5182, 5.5182 and 5.5182 Å, with angles of 90.00, 90.00 and 90.00 degrees. The distinct sites, in fractional coordinates, are Be at (0.0000, 0.0000, 0.0000), Cu at (0.2500, 0.2500, 0.2500) and F at (0.0000, 0.0000, 0.5000).